An optimized crystal structure of CaFeO2, computed with GGA+U.

electronic total energy = -101.194 eV/cell
symmetry = P-1, No. 2

```
CaFeO2
1.0
3.094 0.000 0.000
0.275 8.202 0.000
0.191 0.541 8.615
Ca Fe O
4 4 8
Cartesian
0.793 0.881 2.834
1.044 6.701 0.248
2.516 2.042 8.366
2.768 7.862 5.781
0.897 2.428 5.528
1.224 4.914 6.972
2.336 3.829 1.643
2.663 6.315 3.086
0.792 5.092 1.996
0.791 2.610 1.200
0.963 0.823 7.150
1.206 7.084 4.206
2.354 1.659 4.409
2.598 7.920 1.465
2.769 6.133 7.414
2.769 3.651 6.618
```

***

An optimized crystal structure of CaFe2O4, computed with GGA+U.

electronic total energy = -92.936 eV/cell
symmetry = I4_1/amd, No. 141
distance to the lowest polymorph of the same formula = 0.029 eV/atom

```
CaFe2O4
1.0
-3.139 3.139 4.454
3.139 -3.139 4.454
3.139 3.139 -4.454
Ca Fe O
2 4 8
Cartesian
3.139 1.570 1.113
0.000 1.570 3.340
0.000 0.000 0.000
1.570 1.570 -2.227
1.570 -1.570 2.227
0.000 3.139 0.000
3.139 2.923 -2.385
1.353 1.570 -0.158
1.786 -1.570 4.296
3.139 -0.217 2.385
0.000 3.356 2.069
1.353 4.709 0.158
1.786 1.570 4.612
0.000 0.217 6.839
```

***

Number 1: M_tot 4.0 μB/cell. Number 2: M_tot 20.0 μB/cell.